A geometry-optimized Hf4CoSn2 structure, computed with PBE.

Properties
The total energy is -55.88 eV/f.u. Its energy relative to the elements is -0.14 eV/atom. For the energy above the most stable polymorph in this dataset, the calculation gives 0.0 meV/atom.

Cell lengths 14.2344, 3.8665, 5.7163 Å; angles 90.00, 105.85, 90.00 degrees
Space group C2/m (No. 12)
Unique sites:
Hf 0.0549 0.0000 0.2953
Hf 0.1246 0.5000 0.7562
Co 0.0000 0.5000 0.0000
Sn 0.2189 0.5000 0.2913